Record 1
Compound: ZnSb3F
Source: Alexandria
Functional: PBE
Structure: relaxed

Structure (CIF):
```
data_ZnSb3F
_chemical_formula_sum 'Zn1 Sb3 F1'
_cell_length_a 4.9346
_cell_length_b 4.9346
_cell_length_c 4.9346
_cell_angle_alpha 90.00
_cell_angle_beta 90.00
_cell_angle_gamma 90.00
_space_group_name_H-M_alt 'P m -3 m'
_space_group_IT_number 221
_space_group_name_Hall '-P 4 2 3'
loop_
_atom_site_label
_atom_site_fract_x
_atom_site_fract_y
_atom_site_fract_z
Zn1 0.0000 0.0000 0.0000
Sb1 0.0000 0.5000 0.5000
F1 0.5000 0.5000 0.5000
```

Computed properties:
ΔE_f (raw) in eV per atom: 0.075
E above lowest polymorph in eV/atom: 0.000
Magnetic moment in μB/f.u.: 0.00
Crystal system: cubic
Total DFT energy (no corrections) in eV/cell: -15.14

Record 2
Compound: ZnSb2F
Source: Alexandria
Functional: PBE
Structure: relaxed

Structure (CIF):
```
data_ZnSb2F
_chemical_formula_sum 'Zn4 Sb8 F4'
_cell_length_a 4.4133
_cell_length_b 4.4133
_cell_length_c 18.3856
_cell_angle_alpha 90.00
_cell_angle_beta 90.00
_cell_angle_gamma 90.00
_space_group_name_H-M_alt 'I -4 2 d'
_space_group_IT_number 122
_space_group_name_Hall 'I -4 2bw'
loop_
_atom_site_label
_atom_site_fract_x
_atom_site_fract_y
_atom_site_fract_z
Zn1 0.0000 0.0000 0.0000
Sb1 0.2198 0.2500 0.6250
F1 0.0000 0.0000 0.5000
```

Computed properties:
ΔE_f (raw) in eV per atom: -0.398
E above lowest polymorph in eV/atom: 0.090
Magnetic moment in μB/f.u.: 0.00
Crystal system: tetragonal
Total DFT energy (no corrections) in eV/cell: -51.92

Record 3
Compound: ZnSb2F
Source: Alexandria
Functional: PBE
Structure: relaxed

Structure (CIF):
```
data_ZnSb2F
_chemical_formula_sum 'Zn4 Sb8 F4'
_cell_length_a 6.7354
_cell_length_b 6.7354
_cell_length_c 6.7354
_cell_angle_alpha 90.00
_cell_angle_beta 90.00
_cell_angle_gamma 90.00
_space_group_name_H-M_alt 'F m -3 m'
_space_group_IT_number 225
_space_group_name_Hall '-F 4 2 3'
loop_
_atom_site_label
_atom_site_fract_x
_atom_site_fract_y
_atom_site_fract_z
Zn1 0.0000 0.0000 0.0000
Sb1 0.2500 0.2500 0.2500
F1 0.0000 0.0000 0.5000
```

Computed properties:
ΔE_f (raw) in eV per atom: -0.488
E above lowest polymorph in eV/atom: 0.000
Magnetic moment in μB/f.u.: 0.00
Crystal system: cubic
Total DFT energy (no corrections) in eV/cell: -53.37

Record 4
Compound: Zn2SbF
Source: Alexandria
Functional: PBE
Structure: relaxed

Structure (CIF):
```
data_Zn2SbF
_chemical_formula_sum 'Zn8 Sb4 F4'
_cell_length_a 6.5104
_cell_length_b 6.5104
_cell_length_c 6.5104
_cell_angle_alpha 90.00
_cell_angle_beta 90.00
_cell_angle_gamma 90.00
_space_group_name_H-M_alt 'F m -3 m'
_space_group_IT_number 225
_space_group_name_Hall '-F 4 2 3'
loop_
_atom_site_label
_atom_site_fract_x
_atom_site_fract_y
_atom_site_fract_z
Zn1 0.2500 0.2500 0.2500
Sb1 0.0000 0.0000 0.0000
F1 0.0000 0.0000 0.5000
```

Computed properties:
ΔE_f (raw) in eV per atom: -0.490
E above lowest polymorph in eV/atom: 0.256
Magnetic moment in μB/f.u.: 0.00
Crystal system: cubic
Total DFT energy (no corrections) in eV/cell: -42.00

Record 5
Compound: Zn2SbF
Source: Alexandria
Functional: PBE
Structure: relaxed

Structure (CIF):
```
data_Zn2SbF
_chemical_formula_sum 'Zn6 Sb3 F3'
_cell_length_a 4.2944
_cell_length_b 4.2944
_cell_length_c 18.8164
_cell_angle_alpha 90.00
_cell_angle_beta 90.00
_cell_angle_gamma 120.00
_space_group_name_H-M_alt 'R -3 m'
_space_group_IT_number 166
_space_group_name_Hall '-R 3 2"'
loop_
_atom_site_label
_atom_site_fract_x
_atom_site_fract_y
_atom_site_fract_z
Zn1 0.0000 0.0000 0.1039
Sb1 0.0000 0.0000 0.5000
F1 0.0000 0.0000 0.0000
```

Computed properties:
ΔE_f (raw) in eV per atom: -0.745
E above lowest polymorph in eV/atom: 0.000
Magnetic moment in μB/f.u.: 0.00
Crystal system: trigonal
Total DFT energy (no corrections) in eV/cell: -34.57

Record 6
Compound: ZrSb2F2
Source: Alexandria
Functional: PBE
Structure: relaxed

Structure (CIF):
```
data_ZrSb2F2
_chemical_formula_sum 'Zr2 Sb4 F4'
_cell_length_a 7.8594
_cell_length_b 7.8594
_cell_length_c 3.2630
_cell_angle_alpha 90.00
_cell_angle_beta 90.00
_cell_angle_gamma 90.00
_space_group_name_H-M_alt 'P 4/m b m'
_space_group_IT_number 127
_space_group_name_Hall '-P 4 2ab'
loop_
_atom_site_label
_atom_site_fract_x
_atom_site_fract_y
_atom_site_fract_z
Zr1 0.0000 0.0000 0.0000
Sb1 0.1370 0.3630 0.0000
F1 0.1937 0.6937 0.5000
```

Computed properties:
ΔE_f (raw) in eV per atom: -0.643
E above lowest polymorph in eV/atom: 0.313
Magnetic moment in μB/f.u.: 0.00
Crystal system: tetragonal
Total DFT energy (no corrections) in eV/cell: -47.50

Record 7
Compound: ZrSbF
Source: Alexandria
Functional: PBE
Structure: relaxed

Structure (CIF):
```
data_ZrSbF
_chemical_formula_sum 'Zr4 Sb4 F4'
_cell_length_a 4.0815
_cell_length_b 10.8041
_cell_length_c 5.7519
_cell_angle_alpha 90.00
_cell_angle_beta 90.00
_cell_angle_gamma 90.00
_space_group_name_H-M_alt 'C m c m'
_space_group_IT_number 63
_space_group_name_Hall '-C 2c 2'
loop_
_atom_site_label
_atom_site_fract_x
_atom_site_fract_y
_atom_site_fract_z
Zr1 0.0000 0.1398 0.2500
Sb1 0.0000 0.1448 0.7500
F1 0.0000 0.4211 0.7500
```

Computed properties:
ΔE_f (raw) in eV per atom: -1.694
Magnetic moment in μB/f.u.: 0.00
Crystal system: orthorhombic
Total DFT energy (no corrections) in eV/cell: -78.50

Record 8
Compound: ZrSb2F2
Source: Alexandria
Functional: PBE
Structure: relaxed

Structure (CIF):
```
data_ZrSb2F2
_chemical_formula_sum 'Zr2 Sb4 F4'
_cell_length_a 3.6901
_cell_length_b 3.6901
_cell_length_c 13.5511
_cell_angle_alpha 90.00
_cell_angle_beta 90.00
_cell_angle_gamma 90.00
_space_group_name_H-M_alt 'I 4/m m m'
_space_group_IT_number 139
_space_group_name_Hall '-I 4 2'
loop_
_atom_site_label
_atom_site_fract_x
_atom_site_fract_y
_atom_site_fract_z
Zr1 0.0000 0.0000 0.0000
Sb1 0.0000 0.0000 0.3814
F1 0.0000 0.5000 0.2500
```

Computed properties:
ΔE_f (raw) in eV per atom: -0.956
E above lowest polymorph in eV/atom: 0.000
Magnetic moment in μB/f.u.: 0.00
Crystal system: tetragonal
Total DFT energy (no corrections) in eV/cell: -50.63

Record 9
Compound: Zr2SbF
Source: Alexandria
Functional: PBE
Structure: relaxed

Structure (CIF):
```
data_Zr2SbF
_chemical_formula_sum 'Zr8 Sb4 F4'
_cell_length_a 6.7988
_cell_length_b 6.7988
_cell_length_c 6.7988
_cell_angle_alpha 90.00
_cell_angle_beta 90.00
_cell_angle_gamma 90.00
_space_group_name_H-M_alt 'F m -3 m'
_space_group_IT_number 225
_space_group_name_Hall '-F 4 2 3'
loop_
_atom_site_label
_atom_site_fract_x
_atom_site_fract_y
_atom_site_fract_z
Zr1 0.2500 0.2500 0.2500
Sb1 0.0000 0.0000 0.0000
F1 0.0000 0.0000 0.5000
```

Computed properties:
ΔE_f (raw) in eV per atom: -0.954
E above lowest polymorph in eV/atom: 0.000
Magnetic moment in μB/f.u.: 0.00
Crystal system: cubic
Total DFT energy (no corrections) in eV/cell: -107.63

Record 10
Compound: ZrSbF2
Source: Alexandria
Functional: PBE
Structure: relaxed

Structure (CIF):
```
data_ZrSbF2
_chemical_formula_sum 'Zr4 Sb4 F8'
_cell_length_a 4.3428
_cell_length_b 4.3428
_cell_length_c 14.5457
_cell_angle_alpha 90.00
_cell_angle_beta 90.00
_cell_angle_gamma 90.00
_space_group_name_H-M_alt 'I -4 2 d'
_space_group_IT_number 122
_space_group_name_Hall 'I -4 2bw'
loop_
_atom_site_label
_atom_site_fract_x
_atom_site_fract_y
_atom_site_fract_z
Zr1 0.0000 0.0000 0.0000
Sb1 0.0000 0.0000 0.5000
F1 0.0935 0.2500 0.1250
```

Computed properties:
ΔE_f (raw) in eV per atom: -1.849
E above lowest polymorph in eV/atom: 0.000
Magnetic moment in μB/f.u.: 0.00
Crystal system: tetragonal
Total DFT energy (no corrections) in eV/cell: -95.24

Record 11
Compound: ZrSbF3
Source: Alexandria
Functional: PBE
Structure: relaxed

Structure (CIF):
```
data_ZrSbF3
_chemical_formula_sum 'Zr1 Sb1 F3'
_cell_length_a 4.4085
_cell_length_b 4.4085
_cell_length_c 4.4085
_cell_angle_alpha 90.00
_cell_angle_beta 90.00
_cell_angle_gamma 90.00
_space_group_name_H-M_alt 'P m -3 m'
_space_group_IT_number 221
_space_group_name_Hall '-P 4 2 3'
loop_
_atom_site_label
_atom_site_fract_x
_atom_site_fract_y
_atom_site_fract_z
Zr1 0.0000 0.0000 0.0000
Sb1 0.5000 0.5000 0.5000
F1 0.0000 0.0000 0.5000
```

Computed properties:
ΔE_f (raw) in eV per atom: -1.959
E above lowest polymorph in eV/atom: 0.000
Magnetic moment in μB/f.u.: 2.44
Crystal system: cubic
Total DFT energy (no corrections) in eV/cell: -28.08

Record 12
Compound: ZrSbF2
Source: Alexandria
Functional: PBE
Structure: relaxed

Structure (CIF):
```
data_ZrSbF2
_chemical_formula_sum 'Zr3 Sb3 F6'
_cell_length_a 3.0033
_cell_length_b 3.0033
_cell_length_c 27.3486
_cell_angle_alpha 90.00
_cell_angle_beta 90.00
_cell_angle_gamma 120.00
_space_group_name_H-M_alt 'R -3 m'
_space_group_IT_number 166
_space_group_name_Hall '-R 3 2"'
loop_
_atom_site_label
_atom_site_fract_x
_atom_site_fract_y
_atom_site_fract_z
Zr1 0.0000 0.0000 0.0000
Sb1 0.0000 0.0000 0.5000
F1 0.0000 0.0000 0.3881
```

Computed properties:
ΔE_f (raw) in eV per atom: -1.826
E above lowest polymorph in eV/atom: 0.024
Magnetic moment in μB/f.u.: 0.00
Crystal system: trigonal
Total DFT energy (no corrections) in eV/cell: -71.15

Record 13
Compound: ZrSbF3
Source: Alexandria
Functional: PBE
Structure: relaxed

Structure (CIF):
```
data_ZrSbF3
_chemical_formula_sum 'Zr1 Sb1 F3'
_cell_length_a 4.6169
_cell_length_b 4.6169
_cell_length_c 4.6169
_cell_angle_alpha 90.00
_cell_angle_beta 90.00
_cell_angle_gamma 90.00
_space_group_name_H-M_alt 'P m -3 m'
_space_group_IT_number 221
_space_group_name_Hall '-P 4 2 3'
loop_
_atom_site_label
_atom_site_fract_x
_atom_site_fract_y
_atom_site_fract_z
Zr1 0.0000 0.0000 0.0000
Sb1 0.5000 0.5000 0.5000
F1 0.0000 0.5000 0.5000
```

Computed properties:
ΔE_f (raw) in eV per atom: -0.860
E above lowest polymorph in eV/atom: 1.099
Magnetic moment in μB/f.u.: 2.70
Crystal system: cubic
Total DFT energy (no corrections) in eV/cell: -22.58

Record 14
Compound: Zr3SbF
Source: Alexandria
Functional: PBE
Structure: relaxed

Structure (CIF):
```
data_Zr3SbF
_chemical_formula_sum 'Zr3 Sb1 F1'
_cell_length_a 4.5665
_cell_length_b 4.5665
_cell_length_c 4.5665
_cell_angle_alpha 90.00
_cell_angle_beta 90.00
_cell_angle_gamma 90.00
_space_group_name_H-M_alt 'P m -3 m'
_space_group_IT_number 221
_space_group_name_Hall '-P 4 2 3'
loop_
_atom_site_label
_atom_site_fract_x
_atom_site_fract_y
_atom_site_fract_z
Zr1 0.0000 0.0000 0.5000
Sb1 0.5000 0.5000 0.5000
F1 0.0000 0.0000 0.0000
```

Computed properties:
ΔE_f (raw) in eV per atom: -0.759
E above lowest polymorph in eV/atom: 0.000
Magnetic moment in μB/f.u.: 1.10
Crystal system: cubic
Total DFT energy (no corrections) in eV/cell: -35.44

Record 15
Compound: Zr2SbF
Source: Alexandria
Functional: PBE
Structure: relaxed

Structure (CIF):
```
data_Zr2SbF
_chemical_formula_sum 'Zr8 Sb4 F4'
_cell_length_a 5.1046
_cell_length_b 5.1046
_cell_length_c 14.4725
_cell_angle_alpha 90.00
_cell_angle_beta 90.00
_cell_angle_gamma 90.00
_space_group_name_H-M_alt 'I -4 2 d'
_space_group_IT_number 122
_space_group_name_Hall 'I -4 2bw'
loop_
_atom_site_label
_atom_site_fract_x
_atom_site_fract_y
_atom_site_fract_z
Zr1 0.1194 0.2500 0.1250
Sb1 0.0000 0.0000 0.5000
F1 0.0000 0.0000 0.0000
```

Computed properties:
ΔE_f (raw) in eV per atom: -0.720
E above lowest polymorph in eV/atom: 0.235
Magnetic moment in μB/f.u.: 0.00
Crystal system: tetragonal
Total DFT energy (no corrections) in eV/cell: -103.88

Record 16
Compound: ZrSbF2
Source: Alexandria
Functional: PBE
Structure: relaxed

Structure (CIF):
```
data_ZrSbF2
_chemical_formula_sum 'Zr4 Sb4 F8'
_cell_length_a 6.3455
_cell_length_b 6.3455
_cell_length_c 6.3455
_cell_angle_alpha 90.00
_cell_angle_beta 90.00
_cell_angle_gamma 90.00
_space_group_name_H-M_alt 'F m -3 m'
_space_group_IT_number 225
_space_group_name_Hall '-F 4 2 3'
loop_
_atom_site_label
_atom_site_fract_x
_atom_site_fract_y
_atom_site_fract_z
Zr1 0.0000 0.0000 0.0000
Sb1 0.0000 0.0000 0.5000
F1 0.2500 0.2500 0.2500
```

Computed properties:
ΔE_f (raw) in eV per atom: -1.282
E above lowest polymorph in eV/atom: 0.567
Magnetic moment in μB/f.u.: 0.00
Crystal system: cubic
Total DFT energy (no corrections) in eV/cell: -86.16

Record 17
Compound: ScF3
Source: Alexandria
Functional: PBE
Structure: relaxed

Structure (CIF):
```
data_ScF3
_chemical_formula_sum 'Sc4 F12'
_cell_length_a 3.8279
_cell_length_b 3.8279
_cell_length_c 13.5747
_cell_angle_alpha 90.00
_cell_angle_beta 90.00
_cell_angle_gamma 90.00
_space_group_name_H-M_alt 'I -4 2 d'
_space_group_IT_number 122
_space_group_name_Hall 'I -4 2bw'
loop_
_atom_site_label
_atom_site_fract_x
_atom_site_fract_y
_atom_site_fract_z
Sc1 0.0000 0.0000 0.0000
F1 0.0000 0.0000 0.5000
F2 0.1576 0.2500 0.1250
```

Computed properties:
ΔE_f (raw) in eV per atom: -3.170
Magnetic moment in μB/f.u.: 0.00
Crystal system: tetragonal
Total DFT energy (no corrections) in eV/cell: -98.50

Record 18
Compound: ScF
Source: Alexandria
Functional: PBE
Structure: relaxed

Structure (CIF):
```
data_ScF
_chemical_formula_sum 'Sc4 F4'
_cell_length_a 5.1266
_cell_length_b 5.1266
_cell_length_c 5.1266
_cell_angle_alpha 90.00
_cell_angle_beta 90.00
_cell_angle_gamma 90.00
_space_group_name_H-M_alt 'F -4 3 m'
_space_group_IT_number 216
_space_group_name_Hall 'F -4 2 3'
loop_
_atom_site_label
_atom_site_fract_x
_atom_site_fract_y
_atom_site_fract_z
Sc1 0.0000 0.0000 0.0000
F1 0.2500 0.2500 0.2500
```

Computed properties:
ΔE_f (raw) in eV per atom: -2.175
E above lowest polymorph in eV/atom: 0.300
Magnetic moment in μB/f.u.: 0.00
Crystal system: cubic
Total DFT energy (no corrections) in eV/cell: -50.21

Record 19
Compound: ScF
Source: Alexandria
Functional: PBE
Structure: relaxed

Structure (CIF):
```
data_ScF
_chemical_formula_sum 'Sc6 F6'
_cell_length_a 3.4134
_cell_length_b 11.0113
_cell_length_c 5.2808
_cell_angle_alpha 90.00
_cell_angle_beta 90.00
_cell_angle_gamma 90.00
_space_group_name_H-M_alt 'P m m n'
_space_group_IT_number 59
loop_
_space_group_symop_operation_xyz
'x,y,z'
'-x,-y,-z'
'-x+1/2,-y+1/2,z'
'x+1/2,y+1/2,-z'
'x+1/2,-y,-z'
'-x+1/2,y,z'
'-x,y+1/2,-z'
'x,-y+1/2,z'
loop_
_atom_site_label
_atom_site_fract_x
_atom_site_fract_y
_atom_site_fract_z
Sc1 0.2500 0.1074 0.2482
Sc2 0.2500 0.7500 0.1747
F1 0.2500 0.2500 0.5442
F2 0.2500 0.5733 0.0484
```

Computed properties:
ΔE_f (raw) in eV per atom: -2.341
E above lowest polymorph in eV/atom: 0.134
Magnetic moment in μB/f.u.: 0.00
Crystal system: orthorhombic
Total DFT energy (no corrections) in eV/cell: -77.31

Record 20
Compound: ScF
Source: Alexandria
Functional: PBE
Structure: relaxed

Structure (CIF):
```
data_ScF
_chemical_formula_sum 'Sc8 F8'
_cell_length_a 9.0126
_cell_length_b 9.0126
_cell_length_c 3.3491
_cell_angle_alpha 90.00
_cell_angle_beta 90.00
_cell_angle_gamma 90.00
_space_group_name_H-M_alt 'P 4/m'
_space_group_IT_number 83
_space_group_name_Hall '-P 4'
loop_
_atom_site_label
_atom_site_fract_x
_atom_site_fract_y
_atom_site_fract_z
Sc1 0.0812 0.3277 0.0000
Sc2 0.2753 0.5910 0.5000
F1 0.0458 0.2089 0.5000
F2 0.1766 0.7133 0.0000
```

Computed properties:
ΔE_f (raw) in eV per atom: -2.441
E above lowest polymorph in eV/atom: 0.034
Magnetic moment in μB/f.u.: 0.05
Crystal system: tetragonal
Total DFT energy (no corrections) in eV/cell: -104.68